1.
Here is a geometry-optimized CuIr4Os structure from the Alexandria database. Energies are from PBEsol.

Unit cell a=7.1326 b=7.1326 c=7.1326 alpha=90.00 beta=90.00 gamma=90.00
Space group F-43m (No. 216)
Asymmetric unit:
1 Cu 0.0000 0.0000 0.0000 x4
2 Ir 0.1253 0.1253 0.3747 x16
3 Os 0.2500 0.2500 0.7500 x4

uncorrected energy: -8.46 eV/atom
energy of formation: 0.84 eV/atom

=====

2.
Here is a geometry-optimized Hf3Cu8 structure from the Alexandria database. Energies are from PBEsol.

Unit cell a=7.7130 b=7.9970 c=9.7950 alpha=90.00 beta=90.00 gamma=90.00
Space group Pnma (No. 62)
Asymmetric unit:
1 Hf 0.0393 0.2500 0.0470 x4
2 Hf 0.0616 0.5539 0.6400 x8
3 Cu 0.1161 0.7500 0.4024 x4
4 Cu 0.1221 0.5762 0.1601 x8
5 Cu 0.1292 0.2500 0.7658 x4
6 Cu 0.1769 0.2500 0.5169 x4
7 Cu 0.1981 0.9997 0.9070 x8
8 Cu 0.2163 0.2500 0.2731 x4

uncorrected energy: -6.20 eV/atom
energy of formation: -0.18 eV/atom

=====

3.
Here is a geometry-optimized K2RePb structure from the Alexandria database. Energies are from PBEsol.

Unit cell a=5.7707 b=11.5393 c=2.9476 alpha=90.00 beta=90.00 gamma=90.00
Space group Cmmm (No. 65)
Asymmetric unit:
1 K 0.2500 0.2500 0.0000 x4
2 Re 0.0000 0.0000 0.5000 x2
3 Pb 0.0000 0.5000 0.5000 x2

uncorrected energy: -3.77 eV/atom
energy of formation: 1.13 eV/atom

=====

4.
Here is a geometry-optimized LiTe2Pd structure from the Alexandria database. Energies are from PBEsol.

Unit cell a=4.7144 b=4.7144 c=16.6374 alpha=90.00 beta=90.00 gamma=90.00
Space group I-42d (No. 122)
Asymmetric unit:
1 Li 0.0000 0.0000 0.0000 x4
2 Te 0.2396 0.2500 0.6250 x8
3 Pd 0.0000 0.0000 0.5000 x4

uncorrected energy: -4.09 eV/atom

=====

5.
Here is a geometry-optimized Zr4ZnAu structure from the Alexandria database. Energies are from PBEsol.

Unit cell a=7.8300 b=7.8300 c=7.8300 alpha=90.00 beta=90.00 gamma=90.00
Space group F-43m (No. 216)
Asymmetric unit:
1 Zr 0.1252 0.1252 0.1252 x16
2 Zn 0.0000 0.0000 0.5000 x4
3 Au 0.2500 0.2500 0.7500 x4

uncorrected energy: -6.72 eV/atom
energy of formation: 0.25 eV/atom

=====

6.
Here is a geometry-optimized LaCoCl2 structure from the Alexandria database. Energies are from PBEsol.

Unit cell a=5.8636 b=6.9191 c=3.8789 alpha=90.00 beta=90.00 gamma=90.00
Space group Cmmm (No. 65)
Asymmetric unit:
1 La 0.0000 0.0000 0.0000 x2
2 Co 0.0000 0.5000 0.0000 x2
3 Cl 0.0000 0.2981 0.5000 x4

uncorrected energy: -4.99 eV/atom
energy above the lowest structure with this stoichiometry: 378 meV/atom

=====

7.
Here is a geometry-optimized MnCdTe2 structure from the Alexandria database. Energies are from PBEsol.

Unit cell a=7.2429 b=7.2429 c=7.2429 alpha=90.00 beta=90.00 gamma=90.00
Space group F-43m (No. 216)
Asymmetric unit:
1 Mn 0.0000 0.0000 0.0000 x4
2 Cd 0.2500 0.2500 0.7500 x4
3 Te 0.0000 0.0000 0.5000 x4
4 Te 0.2500 0.2500 0.2500 x4

uncorrected energy: -4.02 eV/atom

=====

8.
Here is a geometry-optimized GeOsN2 structure from the Alexandria database. Energies are from PBEsol.

Unit cell a=2.8723 b=2.8723 c=19.2213 alpha=90.00 beta=90.00 gamma=120.00
Space group R-3m (No. 166, hexagonal axes)
Asymmetric unit:
1 Ge 0.0000 0.0000 0.0000 x3
2 Os 0.0000 0.0000 0.5000 x3
3 N 0.0000 0.0000 0.1032 x6

uncorrected energy: -8.09 eV/atom

=====

9.
Here is a geometry-optimized Re3Sb structure from the Alexandria database. Energies are from PBEsol.

Unit cell a=3.0318 b=3.0318 c=6.8765 alpha=90.00 beta=90.00 gamma=90.00
Space group P4/mmm (No. 123)
Asymmetric unit:
1 Re 0.0000 0.0000 0.0000 x1
2 Re 0.5000 0.5000 0.2369 x2
3 Sb 0.0000 0.0000 0.5000 x1

uncorrected energy: -10.74 eV/atom
energy above the lowest structure with this stoichiometry: 0 meV/atom

=====

10.
Here is a geometry-optimized Li2RhAu structure from the Alexandria database. Energies are from PBEsol.

Unit cell a=2.6081 b=4.2523 c=5.1515 alpha=90.00 beta=104.66 gamma=90.00
Space group Pm (No. 6)
Asymmetric unit:
1 Li 0.0000 0.0000 0.0000 x1
2 Li 0.1185 0.5000 0.2602 x1
3 Rh 0.7378 0.0000 0.4891 x1
4 Au 0.3778 0.5000 0.7658 x1

uncorrected energy: -4.18 eV/atom
energy of formation: -0.18 eV/atom

=====

11.
Here is a geometry-optimized TiNiP2O8 structure from the Alexandria database. Energies are from PBEsol.

Unit cell a=8.5292 b=8.5292 c=20.2117 alpha=90.00 beta=90.00 gamma=120.00
Space group R3 (No. 146, hexagonal axes)
Asymmetric unit:
1 Ti 0.0000 0.0000 0.0000 x3
2 Ti 0.0000 0.0000 0.2152 x3
3 Ti 0.0000 0.0000 0.5022 x3
4 Ni 0.0000 0.0000 0.3571 x3
5 Ni 0.0000 0.0000 0.7196 x3
6 Ni 0.0000 0.0000 0.8582 x3
7 P 0.0000 0.2930 0.6114 x9
8 P 0.0368 0.6675 0.7750 x9
9 O 0.0008 0.2009 0.6740 x9
10 O 0.0062 0.1756 0.2820 x9
11 O 0.0232 0.8239 0.1685 x9
12 O 0.0232 0.8366 0.7879 x9
13 O 0.1463 0.6742 0.7133 x9
14 O 0.1502 0.4737 0.2154 x9
15 O 0.1687 0.6814 0.0988 x9
16 O 0.1719 0.4830 0.5994 x9

uncorrected energy: -7.83 eV/atom
energy above the lowest structure with this stoichiometry: 0 meV/atom

=====

12.
Here is a geometry-optimized TlGa2Sn structure from the Alexandria database. Energies are from PBEsol.

Unit cell a=7.1688 b=7.1688 c=7.1688 alpha=90.00 beta=90.00 gamma=90.00
Space group Fm-3m (No. 225)
Asymmetric unit:
1 Tl 0.0000 0.0000 0.0000 x4
2 Ga 0.2500 0.2500 0.2500 x8
3 Sn 0.0000 0.0000 0.5000 x4

uncorrected energy: -3.32 eV/atom
energy of formation: 0.07 eV/atom

=====

no.,total magnetization (Bohr magnetons per cell)
1,2.503
2,0.000
3,0.001
4,0.000
5,0.001
6,0.790
7,17.458
8,0.005
9,0.000
10,0.318
11,18.003
12,0.001